Here is an optimized crystal structure of Ac3InSn3 from Alexandria. Energies are from PBE.

Values from the calculation:
Crystal system: hexagonal
Total moment (μB/f.u.): 0.0
Volume (Å³/f.u.): 285
Offset from the most stable computed form (meV per atom): 168

Cell lengths 9.8161, 9.8161, 6.8229 Å; angles 90.00, 90.00, 120.00 degrees
Space group P6_3/m (No. 176)
Symmetry-distinct sites (fractional):
Ac (0.0612, 0.3716, 0.2500) (multiplicity 6)
In (0.3333, 0.6667, 0.7500) (multiplicity 2)
Sn (0.0578, 0.3578, 0.7500) (multiplicity 6)